# 1
{"formula": "BaLiMo2", "functional": "PBE", "state": "optimized geometry", "spacegroup": "No. 65", "e_form_ev_per_atom": 1.131, "dos_at_fermi_per_ev_fu": 4.89, "de_polymorph_kj_per_mol_atoms": 53.9, "cell": [[5.3642, 0.0000, 0.0000], [0.0000, 10.9096, 0.0000], [0.0000, 0.0000, 2.8537]], "species": ["Ba", "Ba", "Li", "Li", "Mo", "Mo", "Mo", "Mo"], "fractional_positions": [[0.0000, 0.0000, 0.0000], [0.5000, 0.5000, 0.0000], [0.0000, 0.5000, 0.0000], [0.5000, 0.0000, 0.0000], [0.2500, 0.2500, 0.5000], [0.2500, 0.7500, 0.5000], [0.7500, 0.2500, 0.5000], [0.7500, 0.7500, 0.5000]]}

# 2
{"formula": "RbLiCl", "functional": "PBE", "state": "optimized geometry", "spacegroup": "No. 8", "dos_at_fermi_per_ev_fu": 0.25, "de_polymorph_kj_per_mol_atoms": 0.5, "cell": [[13.0624, 0.0000, 0.0000], [0.0000, 4.7350, 0.0000], [-2.7372, 0.0000, 7.0563]], "species": ["Rb", "Rb", "Rb", "Rb", "Li", "Li", "Li", "Li", "Cl", "Cl", "Cl", "Cl"], "fractional_positions": [[0.0000, 0.0000, 0.0000], [0.1941, 0.0000, 0.6643], [0.5000, 0.5000, 0.0000], [0.6941, 0.5000, 0.6643], [0.2618, 0.5000, 0.3085], [0.4407, 0.0000, 0.4617], [0.7618, 0.0000, 0.3085], [0.9407, 0.5000, 0.4617], [0.0802, 0.5000, 0.3343], [0.2170, 0.5000, 0.9791], [0.5802, 0.0000, 0.3343], [0.7170, 0.0000, 0.9791]]}